{"formula": "Fe4O7F", "functional": "PBE+U", "state": "optimized geometry", "volume_a3_per_atom": 10.566, "magnetic_moment_mub_per_fu": 15.0, "de_polymorph_mev_per_atom": 59.6, "lattice": [[9.2213, 0.0000, 0.0000], [0.0000, 5.4694, -0.0121], [0.0000, 2.2639, 5.0230]], "species": ["O", "O", "O", "O", "O", "O", "O", "O", "O", "O", "O", "O", "O", "O", "Fe", "Fe", "Fe", "Fe", "Fe", "Fe", "Fe", "Fe", "F", "F"], "fractional_positions": [[0.7741, 0.8484, 0.3488], [0.2833, 0.8420, 0.3365], [0.2259, 0.8484, 0.8488], [0.4737, 0.6515, 0.1347], [0.4720, 0.1487, 0.6518], [0.9698, 0.1584, 0.6615], [0.2223, 0.3473, 0.3517], [0.9642, 0.6605, 0.1643], [0.7777, 0.3473, 0.8517], [0.5263, 0.6515, 0.6347], [0.0302, 0.1584, 0.1615], [0.5280, 0.1487, 0.1518], [0.7167, 0.8420, 0.8365], [0.0358, 0.6605, 0.6643], [0.8821, 0.5115, 0.5173], [0.3804, 0.4992, 0.4816], [0.3824, 0.9890, 0.9984], [0.1308, 0.0013, 0.4996], [0.6196, 0.4992, 0.9816], [0.6176, 0.9890, 0.4984], [0.8692, 0.0013, 0.9996], [0.1179, 0.5115, 0.0173], [0.2820, 0.3423, 0.8539], [0.7180, 0.3423, 0.3539]]}